Record 1
DFT (PBE-GGA) results for an optimized crystal structure of PuSb2Pd9.

a b c (Å): 4.1017 4.1017 12.1739
angles (deg): 90.00 90.00 90.00
Last column: nearest neighbours and their distance in Å.
Fractional positions:
Pu 0.0000 0.0000 0.0000  12 Pd 2.90-2.94
Sb 0.0000 0.0000 0.3357  12 Pd 2.85-2.90
Sb 0.0000 0.0000 0.6643  12 Pd 2.85-2.90
Pd 0.0000 0.5000 0.1728  2 Sb 2.85, 8 Pd 2.88-2.94, 2 Pu 2.94
Pd 0.0000 0.5000 0.5000  8 Pd 2.84-2.90, 4 Sb 2.87
Pd 0.0000 0.5000 0.8272  2 Sb 2.85, 8 Pd 2.88-2.94, 2 Pu 2.94
Pd 0.5000 0.0000 0.1728  2 Sb 2.85, 8 Pd 2.88-2.94, 2 Pu 2.94
Pd 0.5000 0.0000 0.5000  8 Pd 2.84-2.90, 4 Sb 2.87
Pd 0.5000 0.0000 0.8272  2 Sb 2.85, 8 Pd 2.88-2.94, 2 Pu 2.94
Pd 0.5000 0.5000 0.0000  4 Pu 2.90, 8 Pd 2.94
Pd 0.5000 0.5000 0.3384  8 Pd 2.84-2.88, 4 Sb 2.90
Pd 0.5000 0.5000 0.6616  8 Pd 2.84-2.88, 4 Sb 2.90

Calculated values
Formation energy (no corrections): -429 meV/atom
Final energy: -6.2049 eV/atom
Space-group type: P4/mmm, No. 123

=====

Record 2
DFT (PBE-GGA) results for an optimized crystal structure of AlInGa2Se6.

a b c (Å): 9.7383 9.7383 6.4832
angles (deg): 104.12 104.12 94.93
Last column: nearest neighbours and their distance in Å.
Fractional positions:
Al 0.1893 0.8107 0.7500  4 Se 2.38-2.45
Al 0.8107 0.1893 0.2500  4 Se 2.38-2.45
In 0.3528 0.6472 0.2500  4 Se 2.63-2.69
In 0.6472 0.3528 0.7500  4 Se 2.63-2.69
Ga 0.1919 0.3689 0.6312  4 Se 2.38-2.49
Ga 0.3689 0.1919 0.1312  4 Se 2.38-2.49
Ga 0.6311 0.8081 0.8688  4 Se 2.38-2.49
Ga 0.8081 0.6311 0.3688  4 Se 2.38-2.49
Se 0.0172 0.7922 0.4101  1 Al 2.38, 1 Ga 2.38
Se 0.1528 0.5949 0.8728  1 Al 2.45, 1 Ga 2.49, 1 In 2.63
Se 0.2078 0.9828 0.0899  1 Al 2.38, 1 Ga 2.38
Se 0.2512 0.3920 0.2903  2 Ga 2.47-2.48, 1 In 2.69
Se 0.3920 0.2512 0.7903  2 Ga 2.47-2.48, 1 In 2.69
Se 0.4051 0.8472 0.6272  1 Al 2.45, 1 Ga 2.49, 1 In 2.63
Se 0.5949 0.1528 0.3728  1 Al 2.45, 1 Ga 2.49, 1 In 2.63
Se 0.6080 0.7488 0.2097  2 Ga 2.47-2.48, 1 In 2.69
Se 0.7488 0.6080 0.7097  2 Ga 2.47-2.48, 1 In 2.69
Se 0.7922 0.0172 0.9101  1 Al 2.38, 1 Ga 2.38
Se 0.8472 0.4051 0.1272  1 Al 2.45, 1 Ga 2.49, 1 In 2.63
Se 0.9828 0.2078 0.5899  1 Al 2.38, 1 Ga 2.38

Calculated values
Formation energy (no corrections): -569 meV/atom
Final energy: -3.9132 eV/atom
Space-group type: C2/c, No. 15